Tb3Sm2Sn4 | PBE | optimized geometry

```
18
Lattice="8.368 0.000 0.000 0.000 8.338 0.000 -2.865 0.000 7.508" Properties=species:S:1:pos:R:3 pbc="T T T"
Tb 0.000 0.000 0.000
Tb -1.433 4.169 3.754
Tb -0.055 1.397 5.724
Tb 1.378 2.771 1.970
Tb 4.124 5.566 5.538
Tb 5.557 6.940 1.784
Sm -0.124 5.665 7.048
Sm 1.309 6.841 3.294
Sm 4.193 1.497 4.214
Sm 5.626 2.672 0.460
Sn -0.277 5.298 1.020
Sn -1.709 7.208 4.774
Sn 3.018 0.310 1.239
Sn 1.586 3.859 4.993
Sn 3.916 4.478 2.515
Sn 2.484 8.028 6.269
Sn 7.211 1.130 2.734
Sn 5.779 3.039 6.487
```

Space group: P2_1/c (14)
E_form in eV per formula unit: -6.998